First-principles (PBE with a Hubbard U) data for RbMn2OsO8 after structural relaxation, as listed in Alexandria.

Its density of states at the Fermi level is 8.9 states/eV per cell. The electronic total energy is -6.585 eV per atom.

It has space group C2/m (No. 12), with a = 8.575 Å, b = 5.601 Å, c = 8.300 Å, α = 90.00°, β = 94.86° and γ = 90.00°. The distinct sites, in fractional coordinates, are Rb at (0.000, 0.000, 0.000), Mn at (0.126, 0.500, 0.303), Os at (0.000, 0.000, 0.500), O at (0.014, 0.240, 0.334), O at (0.180, 0.500, 0.118) and O at (0.223, 0.000, 0.539).